1.
# YTeSN2 PBEsol optimized geometry
# total DFT energy (no corrections): -0.4072 Ry per atom
# crystal system: tetragonal
# formation energy without anion corrections: 0.82 eV/atom
data_YTeSN2
_chemical_formula_sum 'Y1 Te1 S1 N2'
_space_group_name_H-M_alt 'P 4/m m m'
_space_group_IT_number 123
_space_group_name_Hall '-P 4 2'
_cell_length_a 4.079
_cell_length_b 4.079
_cell_length_c 4.889
_cell_angle_alpha 90.00
_cell_angle_beta 90.00
_cell_angle_gamma 90.00
loop_
_atom_site_label
_atom_site_type_symbol
_atom_site_fract_x
_atom_site_fract_y
_atom_site_fract_z
Y1 Y 0.000 0.000 0.000
Te1 Te 0.500 0.500 0.000
S1 S 0.500 0.500 0.500
N1 N 0.000 0.500 0.500


2.
# AlRu2PtW PBEsol optimized geometry
# total DFT energy (no corrections): -0.5550 Ry per atom
# crystal system: tetragonal
# energy relative to the elements: 1490 meV per atom
data_AlRu2PtW
_chemical_formula_sum 'Al1 Ru2 Pt1 W1'
_space_group_name_H-M_alt 'P 4/m m m'
_space_group_IT_number 123
_space_group_name_Hall '-P 4 2'
_cell_length_a 4.575
_cell_length_b 4.575
_cell_length_c 4.802
_cell_angle_alpha 90.00
_cell_angle_beta 90.00
_cell_angle_gamma 90.00
loop_
_atom_site_label
_atom_site_type_symbol
_atom_site_fract_x
_atom_site_fract_y
_atom_site_fract_z
Al1 Al 0.000 0.000 0.000
Ru1 Ru 0.000 0.500 0.500
Pt1 Pt 0.500 0.500 0.000
W1 W 0.500 0.500 0.500


3.
# Sr11Cd6Sb12 PBEsol optimized geometry
# total DFT energy (no corrections): -0.2687 Ry per atom
# crystal system: monoclinic
# formation energy without anion corrections: -0.82 eV/atom
data_Sr11Cd6Sb12
_chemical_formula_sum 'Sr22 Cd12 Sb24'
_space_group_name_H-M_alt 'C 1 2/m 1'
_space_group_IT_number 12
_space_group_name_Hall '-C 2y'
_cell_length_a 32.701
_cell_length_b 4.748
_cell_length_c 12.499
_cell_angle_alpha 90.00
_cell_angle_beta 109.95
_cell_angle_gamma 90.00
loop_
_atom_site_label
_atom_site_type_symbol
_atom_site_fract_x
_atom_site_fract_y
_atom_site_fract_z
Sr1 Sr 0.000 0.000 0.000
Sr2 Sr 0.019 0.000 0.681
Sr3 Sr 0.114 0.000 0.506
Sr4 Sr 0.126 0.000 0.015
Sr5 Sr 0.200 0.000 0.343
Sr6 Sr 0.222 0.500 0.867
Cd1 Cd 0.047 0.500 0.248
Cd2 Cd 0.101 0.500 0.745
Cd3 Cd 0.219 0.000 0.666
Sb1 Sb 0.043 0.500 0.500
Sb2 Sb 0.047 0.500 0.885
Sb3 Sb 0.090 0.000 0.233
Sb4 Sb 0.151 0.000 0.784
Sb5 Sb 0.191 0.500 0.529
Sb6 Sb 0.204 0.500 0.135


4.
# Y2NiPt PBEsol optimized geometry
# total DFT energy (no corrections): -0.5526 Ry per atom
# crystal system: orthorhombic
# energy relative to the elements: -828 meV per atom
data_Y2NiPt
_chemical_formula_sum 'Y4 Ni2 Pt2'
_space_group_name_H-M_alt 'A m m 2'
_space_group_IT_number 38
_space_group_name_Hall 'A 2 -2'
_cell_length_a 4.295
_cell_length_b 3.732
_cell_length_c 10.210
_cell_angle_alpha 90.00
_cell_angle_beta 90.00
_cell_angle_gamma 90.00
loop_
_atom_site_label
_atom_site_type_symbol
_atom_site_fract_x
_atom_site_fract_y
_atom_site_fract_z
Y1 Y 0.000 0.000 0.000
Y2 Y 0.500 0.000 0.281
Ni1 Ni 0.500 0.000 0.562
Pt1 Pt 0.000 0.000 0.717